VASP calculation (meta-GGA SCAN) on a crystal of Li2ScInBr relaxed with PBEsol.

Results
**Energy relative to the elements, uncorrected**: 2.7 eV per formula unit
**Total energy**: -13.837 eV/atom
**Total magnetic moment**: 2.59 Bohr magnetons per cell

Cell lengths 5.615, 5.615, 5.668 Å; angles 90.00, 90.00, 90.00 degrees
Space group P4/mmm (No. 123)
Inequivalent atoms, fractional coordinates:
Li  0.000  0.500  0.000
Sc  0.000  0.000  0.000
In  0.000  0.000  0.500
Br  0.500  0.500  0.500

---

VASP calculation (meta-GGA SCAN) on a crystal of Y2TlSe relaxed with PBEsol.

Results
**Energy relative to the elements, uncorrected**: -5.2 eV per formula unit
**Total energy**: -38.336 eV/atom
**Total magnetic moment**: 0.00 Bohr magnetons per cell
**Distance to the lowest polymorph of the same formula**: 0 kJ/mol of formula units

Cell lengths 3.9097, 3.9097, 23.2639 Å; angles 90.00, 90.00, 120.00 degrees
Space group R-3m (No. 166, hexagonal axes)
Inequivalent atoms, fractional coordinates:
Y  0.0000  0.0000  0.2399
Tl  0.0000  0.0000  0.0000
Se  0.0000  0.0000  0.5000

---

Please write out number 2 again, unchanged.
VASP calculation (meta-GGA SCAN) on a crystal of Y2TlSe relaxed with PBEsol.

Results
**Energy relative to the elements, uncorrected**: -5.2 eV per formula unit
**Total energy**: -38.336 eV/atom
**Total magnetic moment**: 0.00 Bohr magnetons per cell
**Distance to the lowest polymorph of the same formula**: 0 kJ/mol of formula units

Cell lengths 3.9097, 3.9097, 23.2639 Å; angles 90.00, 90.00, 120.00 degrees
Space group R-3m (No. 166, hexagonal axes)
Inequivalent atoms, fractional coordinates:
Y  0.0000  0.0000  0.2399
Tl  0.0000  0.0000  0.0000
Se  0.0000  0.0000  0.5000

---

Which of these has the highest energy relative to the elements, uncorrected? Li2ScInBr

---

Look up the total energy of the first one. -13.837 eV/atom